[1]
# Cr2PIrN

Cr2PIrN after structural relaxation (PBE, Alexandria via LeMat-Bulk).

Calculated values
**Theoretical density**: 9.4 g/cm3
**Formation energy (no corrections)**: 0.5 eV per formula unit
**M_tot**: 2.7 μB/f.u.
**Space group**: P4/mmm

Cell lengths 3.833, 4.089, 3.833 Å; angles 90.00, 90.00, 90.00 degrees
Sites, in units of the cell vectors:
N: 0.000 0.000 0.000
Cr: 0.000 0.000 0.500
Cr: 0.500 0.000 0.000
Ir: 0.000 0.500 0.000
P: 0.500 0.500 0.500



[2]
# LiMnAs2H

LiMnAs2H after structural relaxation (PBE, Alexandria via LeMat-Bulk).

Calculated values
**Theoretical density**: 5.0 g/cm3
**M_tot**: 3.9 μB/f.u.
**Final energy**: -4.37 eV/atom
**Space group**: P4/mmm

Cell lengths 4.985, 2.863, 4.985 Å; angles 90.00, 90.00, 90.00 degrees
Sites, in units of the cell vectors:
H: 0.000 0.500 0.000
As: 0.000 0.000 0.500
As: 0.500 0.000 0.000
Mn: 0.500 0.500 0.500
Li: 0.000 0.000 0.000



[3]
# K2NaPmBr6

K2NaPmBr6 after structural relaxation (PBE, Alexandria via LeMat-Bulk).

Calculated values
**Theoretical density**: 3.4 g/cm3
**Formation energy (no corrections)**: -17.9 eV per formula unit
**M_tot**: 0.0 μB/f.u.
**Space group**: P2_1/c

Cell lengths 7.783, 8.203, 11.094 Å; angles 90.00, 88.67, 90.00 degrees
Sites, in units of the cell vectors:
K: 0.028 0.922 0.256
K: 0.972 0.078 0.744
K: 0.528 0.578 0.756
K: 0.472 0.422 0.244
Br: 0.702 0.307 0.944
Br: 0.313 0.708 0.439
Br: 0.202 0.193 0.444
Br: 0.883 0.536 0.247
Br: 0.298 0.693 0.056
Br: 0.617 0.036 0.253
Br: 0.798 0.807 0.556
Br: 0.383 0.964 0.747
Br: 0.117 0.464 0.753
Br: 0.687 0.292 0.561
Br: 0.813 0.792 0.939
Br: 0.187 0.208 0.061
Pm: 0.500 0.000 0.500
Pm: 0.000 0.500 0.000
Na: 0.000 0.500 0.500
Na: 0.500 0.000 0.000



[4]
# Ce8Sn4Ge3

Ce8Sn4Ge3 after structural relaxation (PBE, Alexandria via LeMat-Bulk).

Calculated values
**Theoretical density**: 6.4 g/cm3
**Formation energy**: -0.42 eV/atom
**M_tot**: 4.3 μB/f.u.
**Space group**: C2/m

Cell lengths 8.752, 8.721, 8.721 Å; angles 89.97, 120.14, 120.14 degrees
Sites, in units of the cell vectors:
Ce: 0.985 0.739 0.739
Ce: 0.000 0.746 0.254
Ce: 0.000 0.254 0.746
Ce: 0.500 0.744 0.256
Ce: 0.015 0.261 0.261
Ce: 0.507 0.261 0.261
Ce: 0.500 0.256 0.744
Ce: 0.493 0.739 0.739
Ge: 0.500 0.500 0.000
Ge: 0.500 0.000 0.500
Ge: 0.500 0.500 0.500
Sn: 0.500 0.000 0.000
Sn: 0.000 0.000 0.000
Sn: 0.000 0.500 0.000
Sn: 0.000 0.000 0.500



[5]
# MnZnSb2

MnZnSb2 after structural relaxation (PBE, Alexandria via LeMat-Bulk).

Calculated values
**Theoretical density**: 7.4 g/cm3
**Formation energy (no corrections)**: 1.0 eV per formula unit
**M_tot**: 0.0 μB/f.u.
**Space group**: P2/m

Cell lengths 3.179, 3.104, 8.269 Å; angles 89.69, 90.00, 90.00 degrees
Sites, in units of the cell vectors:
Sb: 0.000 0.247 0.943
Sb: 0.000 0.253 0.557
Zn: 0.500 0.250 0.250
Mn: 0.500 0.750 0.750



[6]
# BeNbO

BeNbO after structural relaxation (PBE, Alexandria via LeMat-Bulk).

Calculated values
**Theoretical density**: 5.8 g/cm3
**Formation energy (no corrections)**: -4.3 eV per formula unit
**M_tot**: 0.0 μB/f.u.
**Space group**: P2
**Energy relative to the lowest polymorph listed for this composition**: 3.1 kJ/mol of atoms

Cell lengths 2.684, 9.173, 2.790 Å; angles 90.00, 98.32, 90.00 degrees
Sites, in units of the cell vectors:
Be: 0.500 0.595 0.000
Be: 0.000 0.381 0.500
O: 0.500 0.283 0.500
O: 0.000 0.492 0.000
Nb: 0.500 0.095 0.000
Nb: 0.000 0.831 0.500



[7]
# La4Sn2Au

La4Sn2Au after structural relaxation (PBE, Alexandria via LeMat-Bulk).

Calculated values
**Theoretical density**: 6.3 g/cm3
**Formation energy**: -0.42 eV/atom
**M_tot**: 0.0 μB/f.u.
**Space group**: I4/mmm

Cell lengths 5.490, 5.490, 9.509 Å; angles 73.22, 73.22, 90.00 degrees
Sites, in units of the cell vectors:
La: 0.500 0.000 0.000
La: 0.184 0.184 0.633
La: 0.816 0.816 0.367
La: 0.000 0.500 0.000
Sn: 0.369 0.369 0.263
Sn: 0.631 0.631 0.737
Au: 0.000 0.000 0.000



[8]
# SrSiSbI2

SrSiSbI2 after structural relaxation (PBE, Alexandria via LeMat-Bulk).

Calculated values
**Theoretical density**: 4.7 g/cm3
**Formation energy (no corrections)**: -1.3 eV per formula unit
**M_tot**: 0.0 μB/f.u.
**Space group**: P4/mmm
**Energy relative to the lowest polymorph listed for this composition**: 0.0 kJ/mol of atoms

Cell lengths 5.607, 5.607, 5.514 Å; angles 90.00, 90.00, 90.00 degrees
Sites, in units of the cell vectors:
I: 0.500 0.000 0.000
I: 0.000 0.500 0.000
Sb: 0.000 0.000 0.500
Si: 0.000 0.000 0.000
Sr: 0.500 0.500 0.500



[9]
# TlCu4Tc

TlCu4Tc after structural relaxation (PBE, Alexandria via LeMat-Bulk).

Calculated values
**Theoretical density**: 10.8 g/cm3
**Formation energy**: 0.41 eV/atom
**M_tot**: 1.8 μB/f.u.
**Space group**: F-43m

Cell lengths 4.944, 4.944, 4.944 Å; angles 60.00, 60.00, 60.00 degrees
Sites, in units of the cell vectors:
Tc: 0.750 0.750 0.750
Tl: 0.000 0.000 0.000
Cu: 0.376 0.376 0.872
Cu: 0.872 0.376 0.376
Cu: 0.376 0.376 0.376
Cu: 0.376 0.872 0.376



[10]
# SbAu3Br

SbAu3Br after structural relaxation (PBE, Alexandria via LeMat-Bulk).

Calculated values
**Theoretical density**: 9.1 g/cm3
**Formation energy (no corrections)**: 2.0 eV per formula unit
**M_tot**: 0.0 μB/f.u.
**Space group**: Pm-3m
**Energy relative to the lowest polymorph listed for this composition**: 0.0 kJ/mol of atoms

Cell lengths 5.252, 5.252, 5.252 Å; angles 90.00, 90.00, 90.00 degrees
Sites, in units of the cell vectors:
Au: 0.000 0.000 0.500
Au: 0.000 0.500 0.000
Au: 0.500 0.000 0.000
Br: 0.500 0.500 0.500
Sb: 0.000 0.000 0.000



[11]
# FePbCl3

FePbCl3 after structural relaxation (PBE, Alexandria via LeMat-Bulk).

Calculated values
**Theoretical density**: 3.5 g/cm3
**Formation energy (no corrections)**: 0.2 eV per formula unit
**M_tot**: 4.6 μB/f.u.
**Space group**: Pm-3m
**Energy relative to the lowest polymorph listed for this composition**: 50.1 kJ/mol of atoms

Cell lengths 5.607, 5.607, 5.607 Å; angles 90.00, 90.00, 90.00 degrees
Sites, in units of the cell vectors:
Cl: 0.000 0.500 0.000
Cl: 0.500 0.000 0.000
Cl: 0.000 0.000 0.500
Fe: 0.500 0.500 0.500
Pb: 0.000 0.000 0.000



[12]
# KRhO2F

KRhO2F after structural relaxation (PBE, Alexandria via LeMat-Bulk).

Calculated values
**Theoretical density**: 3.3 g/cm3
**Formation energy (no corrections)**: 3.7 eV per formula unit
**M_tot**: 5.0 μB/f.u.
**Space group**: P4/mmm

Cell lengths 4.599, 4.599, 4.599 Å; angles 90.00, 90.00, 90.00 degrees
Sites, in units of the cell vectors:
O: 0.500 0.000 0.000
O: 0.000 0.500 0.000
F: 0.000 0.000 0.500
Rh: 0.500 0.500 0.500
K: 0.000 0.000 0.000



Please write out number 5 again, unchanged.
# MnZnSb2

MnZnSb2 after structural relaxation (PBE, Alexandria via LeMat-Bulk).

Calculated values
**Theoretical density**: 7.4 g/cm3
**Formation energy (no corrections)**: 1.0 eV per formula unit
**M_tot**: 0.0 μB/f.u.
**Space group**: P2/m

Cell lengths 3.179, 3.104, 8.269 Å; angles 89.69, 90.00, 90.00 degrees
Sites, in units of the cell vectors:
Sb: 0.000 0.247 0.943
Sb: 0.000 0.253 0.557
Zn: 0.500 0.250 0.250
Mn: 0.500 0.750 0.750



Which formula does entry 7 have?
La4Sn2Au



Which value of theoretical density does entry 2 give?
5.0 g/cm3